[1]
Density functional theory data (PBE-GGA) for a relaxed GdAs2Rh crystal.

Lattice parameters (Å, degrees): 4.035 4.035 6.035 70.47 70.47 60.00
Site moments in Bohr magnetons follow the coordinates.
Sites, in units of the cell vectors:
As (0.269, 0.269, 0.193)  -0.02
As (0.731, 0.731, 0.807)  -0.02
Gd (0.500, 0.500, 0.500)  6.93
Rh (0.000, 0.000, 0.000)  0.05

Calculated values
For the electronic total energy, the calculation gives -34.4 eV/f.u. The value obtained for the formation energy is -0.92 eV per atom.

[2]
Density functional theory data (PBE-GGA) for a relaxed GdAsS crystal.

Lattice parameters (Å, degrees): 3.860 3.905 17.150 90.00 90.00 90.00
Site moments in Bohr magnetons follow the coordinates.
Sites, in units of the cell vectors:
Gd (0.250, 0.236, 0.853)  6.94
Gd (0.250, 0.264, 0.353)  6.94
Gd (0.750, 0.764, 0.147)  6.94
Gd (0.750, 0.736, 0.647)  6.94
As (0.750, 0.214, 0.502)  -0.01
As (0.750, 0.286, 0.002)  -0.01
As (0.250, 0.786, 0.498)  -0.01
As (0.250, 0.714, 0.998)  -0.01
S (0.250, 0.239, 0.686)  -0.01
S (0.250, 0.261, 0.186)  -0.01
S (0.750, 0.761, 0.314)  -0.01
S (0.750, 0.739, 0.814)  -0.01

Calculated values
For the electronic total energy, the calculation gives -27.6 eV/f.u. The calculation puts the energy relative to the elements, uncorrected at -1.579 eV/atom.

Values of M_tot, in order: 7.03; 27.97, all in μB per cell.